1.
# GdBiPO

A relaxed structure of GdBiPO (PBE-GGA, the Open Quantum Materials Database).

For the energy above the most stable polymorph in this dataset, the calculation gives 0.000 eV/atom.

a b c (Å): 4.233 4.233 9.679
angles (deg): 90.00 90.00 90.00
Space group P4/nmm (No. 129, origin choice 2)
Unique sites:
Gd  0.250  0.250  0.098 (multiplicity 2)
Bi  0.250  0.750  0.500 (multiplicity 2)
P  0.250  0.250  0.733 (multiplicity 2)
O  0.250  0.750  0.000 (multiplicity 2)

---

2.
# GdBiPO

A relaxed structure of GdBiPO (PBE-GGA, the Open Quantum Materials Database).

For the energy above the most stable polymorph in this dataset, the calculation gives 0.009 eV/atom.

a b c (Å): 3.946 8.239 6.000
angles (deg): 90.00 90.00 90.00
Space group Pmc2_1 (No. 26)
Unique sites:
Gd  0.000  0.159  0.000 (multiplicity 2)
Bi  0.500  0.409  0.499 (multiplicity 2)
P  0.000  0.184  0.500 (multiplicity 2)
O  0.500  0.259  0.001 (multiplicity 2)

---

3.
# GdBiPO

A relaxed structure of GdBiPO (PBE-GGA, the Open Quantum Materials Database).

For the energy above the most stable polymorph in this dataset, the calculation gives 0.253 eV/atom.

a b c (Å): 5.504 5.504 5.417
angles (deg): 90.00 90.00 90.00
Space group P4/nmm (No. 129, origin choice 2)
Unique sites:
Gd  0.250  0.750  0.000 (multiplicity 2)
Bi  0.250  0.250  0.497 (multiplicity 2)
P  0.250  0.250  0.996 (multiplicity 2)
O  0.250  0.750  0.500 (multiplicity 2)

---

4.
# GdBiPO

A relaxed structure of GdBiPO (PBE-GGA, the Open Quantum Materials Database).

For the energy above the most stable polymorph in this dataset, the calculation gives 0.102 eV/atom.

a b c (Å): 4.968 6.353 6.196
angles (deg): 90.00 90.00 90.00
Space group Pmc2_1 (No. 26)
Unique sites:
Gd  0.000  0.180  0.000 (multiplicity 2)
Bi  0.500  0.246  0.403 (multiplicity 2)
P  0.500  0.323  0.851 (multiplicity 2)
O  0.000  0.126  0.347 (multiplicity 2)

---

5.
# GdBiPb2O6

A relaxed structure of GdBiPb2O6 (PBE-GGA, the Open Quantum Materials Database).

For the energy above the most stable polymorph in this dataset, the calculation gives 0.654 eV/atom.

a b c (Å): 8.553 8.553 8.553
angles (deg): 90.00 90.00 90.00
Space group Fm-3m (No. 225)
Unique sites:
Gd  0.000  0.000  0.000 (multiplicity 4)
Bi  0.000  0.000  0.500 (multiplicity 4)
Pb  0.250  0.250  0.250 (multiplicity 8)
O  0.000  0.250  0.250 (multiplicity 24)

---

6.
# GdBiPb2O6

A relaxed structure of GdBiPb2O6 (PBE-GGA, the Open Quantum Materials Database).

For the energy above the most stable polymorph in this dataset, the calculation gives 0.000 eV/atom.

a b c (Å): 5.957 5.957 8.630
angles (deg): 90.00 90.00 90.00
Space group I4/m (No. 87)
Unique sites:
Gd  0.000  0.000  0.000 (multiplicity 2)
Bi  0.000  0.000  0.500 (multiplicity 2)
Pb  0.000  0.500  0.250 (multiplicity 4)
O  0.000  0.000  0.257 (multiplicity 4)
O  0.173  0.309  0.500 (multiplicity 8)

---

7.
# GdBiPb2O6

A relaxed structure of GdBiPb2O6 (PBE-GGA, the Open Quantum Materials Database).

For the energy above the most stable polymorph in this dataset, the calculation gives 0.138 eV/atom.

a b c (Å): 5.248 5.452 5.874
angles (deg): 95.30 91.83 104.43
Space group P-1 (No. 2)
Unique sites:
Gd  0.000  0.000  0.000 (multiplicity 1)
Bi  0.500  0.500  0.000 (multiplicity 1)
Pb  0.299  0.708  0.455 (multiplicity 2)
O  0.242  0.733  0.051 (multiplicity 2)
O  0.270  0.235  0.736 (multiplicity 2)
O  0.298  0.300  0.268 (multiplicity 2)

---

8.
# GdBiSO2

A relaxed structure of GdBiSO2 (PBE-GGA, the Open Quantum Materials Database).

a b c (Å): 3.9004 3.9004 6.7620
angles (deg): 90.00 90.00 120.00
Space group P3m1 (No. 156)
Unique sites:
Gd  0.0000  0.0000  0.0000 (multiplicity 1)
Bi  0.3333  0.6667  0.5574 (multiplicity 1)
S  0.6667  0.3333  0.2725 (multiplicity 1)
O  0.0000  0.0000  0.6604 (multiplicity 1)
O  0.3333  0.6667  0.9137 (multiplicity 1)

---

9.
# GdBiSO2

A relaxed structure of GdBiSO2 (PBE-GGA, the Open Quantum Materials Database).

a b c (Å): 3.829 3.829 13.772
angles (deg): 90.00 90.00 90.00
Space group I4mm (No. 107)
Unique sites:
Gd  0.000  0.000  0.000 (multiplicity 2)
Bi  0.000  0.000  0.673 (multiplicity 2)
S  0.000  0.000  0.376 (multiplicity 2)
O  0.000  0.500  0.409 (multiplicity 4)

---

10.
# GdBiSeO2

A relaxed structure of GdBiSeO2 (PBE-GGA, the Open Quantum Materials Database).

a b c (Å): 3.866 3.866 12.841
angles (deg): 90.00 90.00 90.00
Space group I4mm (No. 107)
Unique sites:
Gd  0.000  0.000  0.000 (multiplicity 2)
Bi  0.000  0.000  0.696 (multiplicity 2)
Se  0.000  0.000  0.309 (multiplicity 2)
O  0.000  0.500  0.420 (multiplicity 4)

---

11.
# GdYBiO2

A relaxed structure of GdYBiO2 (PBE-GGA, the Open Quantum Materials Database).

a b c (Å): 3.892 3.892 13.509
angles (deg): 90.00 90.00 90.00
Space group I4mm (No. 107)
Unique sites:
Gd  0.000  0.000  0.000 (multiplicity 2)
Y  0.000  0.000  0.334 (multiplicity 2)
Bi  0.000  0.000  0.667 (multiplicity 2)
O  0.000  0.500  0.416 (multiplicity 4)

---

12.
# Gd3BiP2

A relaxed structure of Gd3BiP2 (PBE-GGA, the Open Quantum Materials Database).

a b c (Å): 4.1093 4.1093 10.6943
angles (deg): 90.00 90.00 120.00
Space group P-3m1 (No. 164)
Unique sites:
Gd  0.0000  0.0000  0.0000 (multiplicity 1)
Gd  0.3333  0.6667  0.2982 (multiplicity 2)
Bi  0.0000  0.0000  0.5000 (multiplicity 1)
P  0.3333  0.6667  0.8453 (multiplicity 2)

---

Calculated values (hartree per atom) of total energy for the records, taken in order: -0.222; -0.222; -0.213; -0.218; -0.203; -0.227; -0.222; -0.243; -0.203; -0.204; -0.282; -0.226.